Density functional theory data (GGA+U) for an optimized crystal structure of La2Be2CoO6.

POSCAR file:
```
La2Be2CoO6
1.0
2.6643 1.5383 5.2426
-2.6643 1.5383 5.2426
0.0000 -3.0765 5.2426
La Be Co O
2 2 1 6
Cartesian
0.0000 0.0000 3.4447
0.0000 0.0000 12.2830
0.0000 0.0000 6.6512
0.0000 0.0000 9.0766
0.0000 0.0000 0.0000
-1.3227 -0.7636 9.0896
0.0000 -1.5273 6.6382
-1.3227 0.7636 6.6382
1.3227 -0.7636 9.0896
0.0000 1.5273 9.0896
1.3227 0.7636 6.6381
```

For the raw total energy, the calculation gives -7.25 eV per atom. Its symmetry is R-3m, No. 166.